Entry from the Alexandria database: crystalline CePrTmTl at its relaxed geometry (PBE-GGA).

Summary:
The value obtained for the energy of formation from the pure elements is 24 meV per atom.

a = 5.469 Å, b = 5.469 Å, c = 5.469 Å
α = 60.00°, β = 60.00°, γ = 60.00°
Element x y z (fractional)
Pr: 0.000 0.000 0.000
Tl: 0.250 0.250 0.250
Tm: 0.500 0.500 0.500
Ce: 0.750 0.750 0.750

---

Entry from the Alexandria database: crystalline Ce2PrTl2Zn2 at its relaxed geometry (PBE-GGA).

Summary:
The value obtained for the energy of formation from the pure elements is -184 meV per atom.

a = 4.618 Å, b = 4.618 Å, c = 9.886 Å
α = 76.49°, β = 76.49°, γ = 60.00°
Element x y z (fractional)
Ce: 0.145 0.145 0.565
Ce: 0.855 0.855 0.435
Pr: 0.000 0.000 0.000
Tl: 0.733 0.733 0.800
Tl: 0.267 0.267 0.200
Zn: 0.577 0.577 0.269
Zn: 0.423 0.423 0.731

---

Entry from the Alexandria database: crystalline CePrTlZn at its relaxed geometry (PBE-GGA).

Summary:
The value obtained for the energy of formation from the pure elements is -233 meV per atom.

a = 5.403 Å, b = 5.403 Å, c = 5.403 Å
α = 60.00°, β = 60.00°, γ = 60.00°
Element x y z (fractional)
Pr: 0.250 0.250 0.250
Tl: 0.000 0.000 0.000
Zn: 0.500 0.500 0.500
Ce: 0.750 0.750 0.750